(1)
## Pm3Nd5Sb8 (PBE)

Data for Pm3Nd5Sb8 after structural relaxation.

```
Pm3Nd5Sb8
1.0
-5.748 4.848 -4.992
-8.869 -0.454 1.612
-4.292 7.059 3.639
Nd Sb Pm
5 8 3
Direct
0.500 0.000 0.000
0.000 0.000 0.000
0.000 0.500 0.000
0.500 0.500 0.500
0.500 0.500 0.000
0.750 0.249 0.251
0.249 0.750 0.251
0.751 0.751 0.748
0.750 0.750 0.251
0.250 0.250 0.749
0.250 0.751 0.749
0.751 0.250 0.749
0.249 0.249 0.252
0.000 0.500 0.500
0.500 0.000 0.500
0.000 0.000 0.500
```

Summary:
* volume: 32.5 Å³/atom
* DFT total energy: -5.630 eV per atom

***

(2)
## Sc2Pd2Br (PBE)

Data for Sc2Pd2Br after structural relaxation.

```
Sc2Pd2Br
1.0
-6.580 1.735 -3.407
-0.644 -7.187 -2.417
-1.720 -0.822 2.903
Br Pd Sc
2 4 4
Direct
0.000 0.000 0.000
0.500 0.500 0.000
0.373 0.127 0.500
0.627 0.873 0.500
0.127 0.627 0.500
0.873 0.373 0.500
0.166 0.334 0.000
0.334 0.834 0.000
0.834 0.666 0.000
0.666 0.166 0.000
```

Summary:
* volume: 20.1 Å³/atom
* DFT total energy: -5.719 eV per atom

***

(3)
## Ti2MoHW (PBE)

Data for Ti2MoHW after structural relaxation.

```
Ti2MoHW
1.0
-0.744 -3.720 -0.419
3.706 -0.793 0.453
-0.636 -0.384 4.539
Mo Ti H W
1 2 1 1
Direct
0.000 0.000 0.500
0.000 0.500 0.000
0.500 0.000 0.000
0.000 0.000 0.000
0.500 0.500 0.500
```

Summary:
* volume: 13.4 Å³/atom
* DFT total energy: -8.569 eV per atom

***

(4)
## CeSm2Ag (PBE)

Data for CeSm2Ag after structural relaxation.

```
CeSm2Ag
1.0
-0.465 -2.462 2.500
2.745 -1.071 1.961
-1.378 6.553 8.704
Ce Ag Sm
1 1 2
Direct
0.500 0.500 0.501
0.667 0.667 0.999
0.258 0.258 0.226
0.075 0.075 0.774
```

Summary:
* volume: 29.3 Å³/atom
* energy relative to the elements: 0.06 eV/atom

***

(5)
## CsRbLiHg2 (PBE)

Data for CsRbLiHg2 after structural relaxation.

```
CsRbLiHg2
1.0
-2.770 -3.055 3.981
3.990 1.417 3.863
-3.268 4.981 1.549
Hg Cs Li Rb
2 1 1 1
Direct
0.000 0.500 0.000
0.500 0.000 0.000
0.000 0.000 0.500
0.000 0.000 0.000
0.500 0.500 0.500
```

Summary:
* volume: 40.4 Å³/atom
* energy relative to the elements: -0.03 eV/atom

***

(6)
## LaDy12Er7 (PBE)

Data for LaDy12Er7 after structural relaxation.

```
LaDy12Er7
1.0
-5.651 5.651 5.651
5.651 -5.651 5.651
5.651 5.651 -5.651
Dy La Er
12 1 7
Direct
0.261 0.260 0.521
0.740 0.000 0.261
0.261 0.740 0.000
0.260 0.521 0.261
0.000 0.739 0.260
0.479 0.739 0.740
0.740 0.479 0.739
0.260 0.000 0.739
0.521 0.261 0.260
0.000 0.261 0.740
0.739 0.740 0.479
0.739 0.260 0.000
0.000 0.000 0.000
0.000 0.000 0.500
0.500 0.500 0.500
0.000 0.500 0.500
0.500 0.000 0.500
0.000 0.500 0.000
0.500 0.000 0.000
0.500 0.500 0.000
```

Summary:
* volume: 36.1 Å³/atom
* energy relative to the elements: 0.70 eV/atom